Arrangement a

AlMo2H | GGA-PBE | relaxed

## Properties
Total magnetic moment ... 0.00 μB per cell

a = 5.9565 Å, b = 5.9565 Å, c = 5.7747 Å
α = 90.00°, β = 90.00°, γ = 90.00°
With the nearest neighbours (Å) after each atom.
Space group I-42d (No. 122)
One atom of each set of equivalent atoms:
Al  0.0000  0.0000  0.0000 x4  8 Mo 2.69-2.77, 2 H 2.89
Mo  0.1447  0.2500  0.6250 x8  2 H 1.87
H  0.0000  0.0000  0.5000 x4  4 Mo 1.87

---

Arrangement b

AlMo2H | GGA-PBE | relaxed

## Properties
Total magnetic moment ... 0.00 μB per cell

a = 5.9694 Å, b = 5.9694 Å, c = 5.9694 Å
α = 90.00°, β = 90.00°, γ = 90.00°
With the nearest neighbours (Å) after each atom.
Space group Fm-3m (No. 225)
One atom of each set of equivalent atoms:
Al  0.0000  0.0000  0.0000 x4  8 Mo 2.58
Mo  0.2500  0.2500  0.2500 x8  4 H 2.58, 4 Al 2.58
H  0.0000  0.0000  0.5000 x4  8 Mo 2.58

---

Arrangement c

AlMo2H | GGA-PBE | relaxed

## Properties
Total magnetic moment ... 0.00 μB per cell

a = 4.3462 Å, b = 4.3462 Å, c = 13.7689 Å
α = 90.00°, β = 90.00°, γ = 120.00°
With the nearest neighbours (Å) after each atom.
Space group R-3m (No. 166, hexagonal axes)
One atom of each set of equivalent atoms:
Al  0.0000  0.0000  0.0000 x3  6 Mo 2.56
Mo  0.0000  0.0000  0.3718 x6  1 H 1.77
H  0.0000  0.0000  0.5000 x3  2 Mo 1.77

---

Taking the most stable structure as the zero point, the relative energies in meV/atom are arrangement a 0; arrangement b 582; arrangement c 563.

---

Arrangement a

Ti2AlMoH | GGA-PBE | relaxed

## Properties
Total magnetic moment ... 0.00 μB per cell

a = 3.8266 Å, b = 3.8266 Å, c = 4.4945 Å
α = 90.00°, β = 90.00°, γ = 90.00°
With the nearest neighbours (Å) after each atom.
Space group P4/mmm (No. 123)
One atom of each set of equivalent atoms:
Ti  0.0000  0.5000  0.0000 x2  2 H 1.91
Al  0.0000  0.0000  0.5000 x1  2 H 2.25
Mo  0.5000  0.5000  0.5000 x1  4 Al 2.71, 8 Ti 2.95
H  0.0000  0.0000  0.0000 x1  4 Ti 1.91

---

Arrangement b

Ti2AlMoH | GGA-PBE | relaxed

## Properties
Total magnetic moment ... 0.00 μB per cell

a = 4.2706 Å, b = 4.2706 Å, c = 3.6346 Å
α = 90.00°, β = 90.00°, γ = 90.00°
With the nearest neighbours (Å) after each atom.
Space group P4/mmm (No. 123)
One atom of each set of equivalent atoms:
Ti  0.0000  0.5000  0.0000 x2  2 H 2.14
Al  0.0000  0.0000  0.5000 x1  8 Ti 2.80, 4 Mo 3.02
Mo  0.5000  0.5000  0.5000 x1  2 H 1.82
H  0.5000  0.5000  0.0000 x1  2 Mo 1.82

---

Taking the most stable structure as the zero point, the relative energies in meV/atom are arrangement a 146; arrangement b 0.

---

Arrangement a

AlHN2 | GGA-PBE | relaxed

## Properties
Total magnetic moment ... 0.00 μB per cell

a = 2.9850 Å, b = 2.9850 Å, c = 14.0067 Å
α = 90.00°, β = 90.00°, γ = 120.00°
With the nearest neighbours (Å) after each atom.
Space group R-3m (No. 166, hexagonal axes)
One atom of each set of equivalent atoms:
Al  0.0000  0.0000  0.0000 x3  2 N 2.06
H  0.0000  0.0000  0.5000 x3  6 N 1.74
N  0.0000  0.0000  0.1473 x6  3 H 1.74, 3 N 1.81

---

Arrangement b

AlHN2 | GGA-PBE | relaxed

## Properties
Total magnetic moment ... 0.00 μB per cell

a = 4.8813 Å, b = 4.8813 Å, c = 4.8813 Å
α = 90.00°, β = 90.00°, γ = 90.00°
With the nearest neighbours (Å) after each atom.
Space group Fm-3m (No. 225)
One atom of each set of equivalent atoms:
Al  0.0000  0.0000  0.0000 x4  8 N 2.11
H  0.0000  0.0000  0.5000 x4  8 N 2.11
N  0.2500  0.2500  0.2500 x8  4 H 2.11, 4 Al 2.11

---

Taking the most stable structure as the zero point, the relative energies in meV/atom are arrangement a 496; arrangement b 0.

---

Arrangement a

AlHN2 | GGA-PBE | relaxed

## Properties
Total magnetic moment ... 0.00 μB per cell

a = 3.0631 Å, b = 3.0631 Å, c = 12.9072 Å
α = 90.00°, β = 90.00°, γ = 120.00°
With the nearest neighbours (Å) after each atom.
Space group R-3m (No. 166, hexagonal axes)
One atom of each set of equivalent atoms:
Al  0.0000  0.0000  0.0000 x3  6 N 2.00
H  0.0000  0.0000  0.5000 x3  2 N 1.22
N  0.0000  0.0000  0.4054 x6  1 H 1.22

---

Arrangement b

AlHN2 | GGA-PBE | relaxed

## Properties
Total magnetic moment ... 0.01 μB per cell

a = 3.6066 Å, b = 3.6066 Å, c = 10.0584 Å
α = 90.00°, β = 90.00°, γ = 90.00°
With the nearest neighbours (Å) after each atom.
Space group I-42d (No. 122)
One atom of each set of equivalent atoms:
Al  0.0000  0.0000  0.0000 x4  4 N 1.87
H  0.0000  0.0000  0.5000 x4  4 N 1.72
N  0.2083  0.2500  0.6250 x8  2 H 1.72, 2 Al 1.87

---

Taking the most stable structure as the zero point, the relative energies in meV/atom are arrangement a 0; arrangement b 510.

---

Arrangement a

AlH3N | GGA-PBE | relaxed

## Properties
Total magnetic moment ... 0.00 μB per cell

a = 3.2396 Å, b = 3.2396 Å, c = 3.2396 Å
α = 90.00°, β = 90.00°, γ = 90.00°
With the nearest neighbours (Å) after each atom.
Space group Pm-3m (No. 221)
One atom of each set of equivalent atoms:
Al  0.0000  0.0000  0.0000 x1  12 H 2.29
H  0.0000  0.5000  0.5000 x3  2 N 1.62
N  0.5000  0.5000  0.5000 x1  6 H 1.62

---

Arrangement b

AlH3N | GGA-PBE | relaxed

## Properties
Total magnetic moment ... 3.00 μB per cell

a = 3.5470 Å, b = 3.5470 Å, c = 3.5470 Å
α = 90.00°, β = 90.00°, γ = 90.00°
With the nearest neighbours (Å) after each atom.
Space group Pm-3m (No. 221)
One atom of each set of equivalent atoms:
Al  0.0000  0.0000  0.0000 x1  6 H 1.77
H  0.0000  0.0000  0.5000 x3  2 Al 1.77
N  0.5000  0.5000  0.5000 x1  12 H 2.51

---

Taking the most stable structure as the zero point, the relative energies in meV/atom are arrangement a 0; arrangement b 18.

---

Arrangement a

AlHSN2 | GGA-PBE | relaxed

## Properties
Total magnetic moment ... 2.07 μB per cell

a = 3.6286 Å, b = 3.6286 Å, c = 5.2950 Å
α = 90.00°, β = 90.00°, γ = 90.00°
With the nearest neighbours (Å) after each atom.
Space group P4/mmm (No. 123)
One atom of each set of equivalent atoms:
Al  0.0000  0.0000  0.0000 x1  4 N 1.81
H  0.5000  0.5000  0.5000 x1  4 S 2.57
S  0.0000  0.0000  0.5000 x1  4 H 2.57, 2 Al 2.65
N  0.0000  0.5000  0.0000 x2  2 Al 1.81

---

Arrangement b

AlHSN2 | GGA-PBE | relaxed

## Properties
Total magnetic moment ... 0.62 μB per cell

a = 3.8876 Å, b = 3.8876 Å, c = 2.9765 Å
α = 90.00°, β = 90.00°, γ = 90.00°
With the nearest neighbours (Å) after each atom.
Space group P4/mmm (No. 123)
One atom of each set of equivalent atoms:
Al  0.0000  0.0000  0.0000 x1  8 N 2.45
H  0.5000  0.5000  0.5000 x1  2 S 1.49
S  0.5000  0.5000  0.0000 x1  2 H 1.49
N  0.0000  0.5000  0.5000 x2  2 H 1.94

---

Taking the most stable structure as the zero point, the relative energies in meV/atom are arrangement a 0; arrangement b 226.

---

Arrangement a

AlTe2HN | GGA-PBE | relaxed

## Properties
Total magnetic moment ... 0.52 μB per cell

a = 5.7182 Å, b = 5.7182 Å, c = 3.4166 Å
α = 90.00°, β = 90.00°, γ = 90.00°
With the nearest neighbours (Å) after each atom.
Space group P4/mmm (No. 123)
One atom of each set of equivalent atoms:
Al  0.0000  0.0000  0.0000 x1  2 N 1.71
Te  0.0000  0.5000  0.0000 x2  2 Al 2.86
H  0.5000  0.5000  0.5000 x1  8 Te 3.33, 2 H 3.42
N  0.0000  0.0000  0.5000 x1  2 Al 1.71

---

Arrangement b

AlTe2HN | GGA-PBE | relaxed

## Properties
Total magnetic moment ... 0.00 μB per cell

a = 5.3082 Å, b = 5.3082 Å, c = 2.9310 Å
α = 90.00°, β = 90.00°, γ = 90.00°
With the nearest neighbours (Å) after each atom.
Space group P4/mmm (No. 123)
One atom of each set of equivalent atoms:
Al  0.0000  0.0000  0.0000 x1  2 Al 2.93, 8 Te 3.03
Te  0.0000  0.5000  0.5000 x2  2 H 2.65, 2 Te 2.93
H  0.5000  0.5000  0.5000 x1  2 N 1.47
N  0.5000  0.5000  0.0000 x1  2 H 1.47

---

Taking the most stable structure as the zero point, the relative energies in meV/atom are arrangement a 0; arrangement b 165.

---

Arrangement a

NaAl2H | GGA-PBE | relaxed

## Properties
Total magnetic moment ... 0.00 μB per cell

a = 6.6040 Å, b = 6.6040 Å, c = 6.6040 Å
α = 90.00°, β = 90.00°, γ = 90.00°
With the nearest neighbours (Å) after each atom.
Space group Fm-3m (No. 225)
One atom of each set of equivalent atoms:
Na  0.0000  0.0000  0.0000 x4  8 Al 2.86
Al  0.2500  0.2500  0.2500 x8  4 H 2.86, 4 Na 2.86
H  0.0000  0.0000  0.5000 x4  8 Al 2.86

---

Arrangement b

NaAl2H | GGA-PBE | relaxed

## Properties
Total magnetic moment ... 0.00 μB per cell

a = 5.9226 Å, b = 5.9226 Å, c = 8.2627 Å
α = 90.00°, β = 90.00°, γ = 90.00°
With the nearest neighbours (Å) after each atom.
Space group I4_1/amd (No. 141, origin choice 2)
One atom of each set of equivalent atoms:
Na  0.0000  0.2500  0.3750 x4  12 Al 3.43-3.47, 4 H 3.61, 4 Na 3.61
Al  0.0000  0.0000  0.0000 x8  2 H 1.81
H  0.0000  0.2500  0.8750 x4  4 Al 1.81

---

Taking the most stable structure as the zero point, the relative energies in meV/atom are arrangement a 489; arrangement b 0.

---

Arrangement a

NaAl3H | GGA-PBE | relaxed

## Properties
Total magnetic moment ... 0.00 μB per cell

a = 4.2995 Å, b = 4.2995 Å, c = 4.2995 Å
α = 90.00°, β = 90.00°, γ = 90.00°
With the nearest neighbours (Å) after each atom.
Space group Pm-3m (No. 221)
One atom of each set of equivalent atoms:
Na  0.0000  0.0000  0.0000 x1  12 Al 3.04
Al  0.0000  0.5000  0.5000 x3  2 H 2.15
H  0.5000  0.5000  0.5000 x1  6 Al 2.15

---

Arrangement b

NaAl3H | GGA-PBE | relaxed

## Properties
Total magnetic moment ... 0.00 μB per cell

a = 5.3212 Å, b = 5.3212 Å, c = 5.3212 Å
α = 90.00°, β = 90.00°, γ = 90.00°
With the nearest neighbours (Å) after each atom.
Space group Pm-3m (No. 221)
One atom of each set of equivalent atoms:
Na  0.0000  0.0000  0.0000 x1  6 Al 2.66
Al  0.0000  0.0000  0.5000 x3  2 Na 2.66
H  0.5000  0.5000  0.5000 x1  12 Al 3.76

---

Taking the most stable structure as the zero point, the relative energies in meV/atom are arrangement a 0; arrangement b 1204.

---

Arrangement a

NaAlH3 | GGA-PBE | relaxed

## Properties
Total magnetic moment ... 0.00 μB per cell

a = 3.7919 Å, b = 3.7919 Å, c = 3.7919 Å
α = 90.00°, β = 90.00°, γ = 90.00°
With the nearest neighbours (Å) after each atom.
Space group Pm-3m (No. 221)
One atom of each set of equivalent atoms:
Na  0.0000  0.0000  0.0000 x1  12 H 2.68
Al  0.5000  0.5000  0.5000 x1  6 H 1.90
H  0.0000  0.5000  0.5000 x3  2 Al 1.90

---

Arrangement b

NaAlH3 | GGA-PBE | relaxed

## Properties
Total magnetic moment ... 0.00 μB per cell

a = 5.8873 Å, b = 2.9935 Å, c = 6.2832 Å
α = 90.00°, β = 95.88°, γ = 90.00°
With the nearest neighbours (Å) after each atom.
Space group P2_1/m (No. 11)
One atom of each set of equivalent atoms:
Na  0.1540  0.2500  0.2273 x2  4 H 2.24-2.26
Al  0.3327  0.2500  0.6954 x2  5 H 1.71-1.90
H  0.1227  0.2500  0.8654 x2  1 Al 1.71
H  0.1913  0.7500  0.5518 x2  2 Al 1.90
H  0.4709  0.7500  0.8212 x2  2 Al 1.84

---

Arrangement c

NaAlH3 | GGA-PBE | relaxed

## Properties
Total magnetic moment ... 0.00 μB per cell

a = 3.7797 Å, b = 3.7797 Å, c = 3.7797 Å
α = 90.00°, β = 90.00°, γ = 90.00°
With the nearest neighbours (Å) after each atom.
Space group Pm-3m (No. 221)
One atom of each set of equivalent atoms:
Na  0.0000  0.0000  0.0000 x1  6 H 1.89
Al  0.5000  0.5000  0.5000 x1  12 H 2.67
H  0.0000  0.0000  0.5000 x3  2 Na 1.89

---

Arrangement d

NaAlH3 | GGA-PBE | relaxed

## Properties
Total magnetic moment ... 0.00 μB per cell

a = 10.2591 Å, b = 6.7889 Å, c = 4.4655 Å
α = 90.00°, β = 115.78°, γ = 90.00°
With the nearest neighbours (Å) after each atom.
Space group Cm (No. 8)
One atom of each set of equivalent atoms:
Na  0.0000  0.0000  0.0000 x2  6 H 2.27-2.51
Na  0.1284  0.5000  0.6294 x2  6 H 2.27-2.50
Al  0.3142  0.1923  0.3953 x4  3 H 1.65
H  0.1657  0.2895  0.1036 x4  1 Al 1.65
H  0.3142  0.2866  0.7353 x4  1 Al 1.65
H  0.4631  0.2896  0.4012 x4  1 Al 1.65

---

Taking the most stable structure as the zero point, the relative energies in meV/atom are arrangement a 147; arrangement b 161; arrangement c 814; arrangement d 0.

---

Arrangement a

Na2AlH6 | GGA-PBE | relaxed

## Properties
Total magnetic moment ... 0.00 μB per cell

a = 7.1003 Å, b = 7.1003 Å, c = 7.1003 Å
α = 90.00°, β = 90.00°, γ = 90.00°
With the nearest neighbours (Å) after each atom.
Space group Fm-3m (No. 225)
One atom of each set of equivalent atoms:
Na  0.2500  0.2500  0.2500 x8  12 H 2.51
Al  0.0000  0.0000  0.0000 x4  6 H 1.74
H  0.0000  0.0000  0.2455 x24  1 Al 1.74

---

Arrangement b

Na2AlH6 | GGA-PBE | relaxed

## Properties
Total magnetic moment ... 2.04 μB per cell

a = 4.7045 Å, b = 4.7045 Å, c = 9.6270 Å
α = 90.00°, β = 90.00°, γ = 90.00°
With the nearest neighbours (Å) after each atom.
Space group P4_2/mnm (No. 136)
One atom of each set of equivalent atoms:
Na  0.0000  0.0000  0.1684 x4  6 H 2.16-2.28
Al  0.0000  0.0000  0.5000 x2  6 H 1.72-1.73
H  0.1803  0.1803  0.3698 x8  1 Al 1.73
H  0.2415  0.2415  0.0000 x4  1 Al 1.72

---

Taking the most stable structure as the zero point, the relative energies in meV/atom are arrangement a 0; arrangement b 33.

---

Arrangement a

Na2AlH | GGA-PBE | relaxed

## Properties
Total magnetic moment ... 0.00 μB per cell

a = 6.5221 Å, b = 6.5221 Å, c = 8.3842 Å
α = 90.00°, β = 90.00°, γ = 90.00°
With the nearest neighbours (Å) after each atom.
Space group I-42d (No. 122)
One atom of each set of equivalent atoms:
Na  0.1165  0.2500  0.1250 x8  2 H 2.08
Al  0.0000  0.0000  0.5000 x4  4 Na 3.16
H  0.0000  0.0000  0.0000 x4  4 Na 2.08

---

Arrangement b

Na2AlH | GGA-PBE | relaxed

## Properties
Total magnetic moment ... 0.00 μB per cell

a = 7.1301 Å, b = 7.1301 Å, c = 7.1301 Å
α = 90.00°, β = 90.00°, γ = 90.00°
With the nearest neighbours (Å) after each atom.
Space group Fm-3m (No. 225)
One atom of each set of equivalent atoms:
Na  0.2500  0.2500  0.2500 x8  4 H 3.09, 4 Al 3.09
Al  0.0000  0.0000  0.0000 x4  8 Na 3.09
H  0.0000  0.0000  0.5000 x4  8 Na 3.09

---

Taking the most stable structure as the zero point, the relative energies in meV/atom are arrangement a 0; arrangement b 326.